Here is a crystal of Li3CaSb relaxed with PBEsol from Alexandria via LeMat-Bulk. Energies are from meta-GGA SCAN.

Computed properties:
Total magnetic moment   0.00 μB per atom
Total energy   -55.27 eV for the cell shown
E_form (uncorrected)   -1.176 eV per formula unit

CIF file:
```
data_Li3CaSb
_chemical_formula_sum 'Li3 Ca1 Sb1'
_space_group_name_H-M_alt 'P m -3 m'
_space_group_IT_number 221
_space_group_name_Hall '-P 4 2 3'
_cell_length_a 5.1266
_cell_length_b 5.1266
_cell_length_c 5.1266
_cell_angle_alpha 90.00
_cell_angle_beta 90.00
_cell_angle_gamma 90.00
loop_
_atom_site_label
_atom_site_fract_x
_atom_site_fract_y
_atom_site_fract_z
Li1 0.0000 0.0000 0.5000
Ca1 0.5000 0.5000 0.5000
Sb1 0.0000 0.0000 0.0000
```